Below is PmErGa2 after structural relaxation, with properties calculated at the PBE level.

Cell and atoms, written as POSCAR:
```
PmErGa2
1.0
1.8439 1.0646 8.7548
-1.8439 1.0646 8.7548
0.0000 -2.1292 8.7548
Pm Er Ga
1 1 2
Cartesian
0.0000 0.0000 0.0000
0.0000 0.0000 13.1322
0.0000 0.0000 6.4994
0.0000 0.0000 19.7651
```

SG: R-3m, No. 166
Crystal system: trigonal
E_form, eV/f.u.: -1.596
Mass density, g/cm3: 7.274

=====

Below is PmEr3Ga after structural relaxation, with properties calculated at the PBE level.

Cell and atoms, written as POSCAR:
```
PmEr3Ga
1.0
5.9145 -4.3632 0.0000
5.9145 4.3632 0.0000
-4.7668 0.0000 6.0029
Pm Er Ga
2 6 2
Cartesian
-0.9061 0.0000 1.9299
7.9684 0.0000 4.0729
2.2742 1.6929 1.5730
1.5772 0.0000 4.3953
2.2742 -1.6929 1.5730
4.7881 1.6929 4.4298
5.4851 0.0000 1.6075
4.7881 -1.6929 4.4298
-1.1861 0.0000 5.4308
8.2484 0.0000 0.5720
```

SG: C2/m, No. 12
Crystal system: monoclinic
E_form, eV/f.u.: -0.372
Mass density, g/cm3: 7.680

=====

Below is PmEr2Ga after structural relaxation, with properties calculated at the PBE level.

Cell and atoms, written as POSCAR:
```
PmEr2Ga
1.0
1.7476 1.0090 11.6333
-1.7476 1.0090 11.6333
0.0000 -2.0179 11.6333
Pm Er Ga
1 2 1
Cartesian
0.0000 0.0000 0.0000
0.0000 0.0000 14.4903
0.0000 0.0000 20.4096
0.0000 0.0000 17.4499
```

SG: R-3m, No. 166
Crystal system: trigonal
E_form, eV/f.u.: 0.597
Mass density, g/cm3: 7.411

=====

Below is PmEr2Ga after structural relaxation, with properties calculated at the PBE level.

Cell and atoms, written as POSCAR:
```
PmEr2Ga
1.0
1.7955 1.0366 10.2350
-1.7955 1.0366 10.2350
0.0000 -2.0732 10.2350
Pm Er Ga
1 2 1
Cartesian
0.0000 0.0000 0.0000
0.0000 0.0000 7.2755
0.0000 0.0000 13.2135
0.0000 0.0000 25.6088
```

SG: R3m, No. 160
Crystal system: trigonal
E_form, eV/f.u.: -0.778
Mass density, g/cm3: 7.979

=====

Below is Pm2ErGa after structural relaxation, with properties calculated at the PBE level.

Cell and atoms, written as POSCAR:
```
Pm2ErGa
1.0
3.5866 0.0000 0.0000
0.0000 3.5866 0.0000
0.0000 0.0000 8.9812
Pm Er Ga
2 1 1
Cartesian
0.0000 0.0000 1.9093
0.0000 0.0000 7.0718
1.7933 1.7933 4.4906
1.7933 1.7933 0.0000
```

SG: P4/mmm, No. 123
Crystal system: tetragonal
E_form, eV/f.u.: -0.948
Mass density, g/cm3: 7.574

=====

Below is Pm3ErGa2 after structural relaxation, with properties calculated at the PBE level.

Cell and atoms, written as POSCAR:
```
Pm3ErGa2
1.0
5.0947 0.0000 0.0000
0.0000 9.6334 0.0000
0.0000 0.0000 6.6100
Pm Er Ga
6 2 4
Cartesian
0.0000 0.4562 0.0000
0.0000 3.2083 2.2468
0.0000 6.4252 5.5518
0.0000 9.1772 3.3050
2.5473 1.7179 4.6706
2.5473 7.9155 1.3656
2.5473 4.3094 0.2988
2.5473 5.3240 3.6038
0.0000 3.4018 5.4223
0.0000 6.2316 2.1173
2.5473 1.4246 1.5260
2.5473 8.2088 4.8309
```

SG: Pmc2_1, No. 26
Crystal system: orthorhombic
E_form, eV/f.u.: -2.429
Mass density, g/cm3: 7.593

=====

Below is Pm4Er3Ga4 after structural relaxation, with properties calculated at the PBE level.

Cell and atoms, written as POSCAR:
```
Pm4Er3Ga4
1.0
-1.7654 4.5203 9.1429
1.7654 -4.5203 9.1429
1.7654 4.5203 -9.1429
Pm Er Ga
4 3 4
Cartesian
1.7654 -2.9213 6.1175
0.0000 1.5990 3.0254
1.7654 2.9213 6.1175
0.0000 7.4417 3.0254
1.7654 0.0000 0.0000
0.0000 0.0000 7.4425
0.0000 0.0000 10.8433
0.0000 2.5084 0.0000
1.7654 0.0000 5.0809
0.0000 4.5203 4.0620
0.0000 6.5323 0.0000
```

SG: Immm, No. 71
Crystal system: orthorhombic
E_form, eV/f.u.: -4.520
Mass density, g/cm3: 7.742

=====

Below is PmErGa after structural relaxation, with properties calculated at the PBE level.

Cell and atoms, written as POSCAR:
```
PmErGa
1.0
4.7814 0.0000 0.0000
0.0000 4.7814 0.0000
0.0000 0.0000 7.4330
Pm Er Ga
2 2 2
Cartesian
1.1954 1.1954 1.5483
3.5861 3.5861 5.8847
1.1954 1.1954 5.4185
3.5861 3.5861 2.0145
1.1954 3.5861 3.7165
3.5861 1.1954 3.7165
```

SG: P4/nmm, No. 129
Crystal system: tetragonal
E_form, eV/f.u.: -0.628
Mass density, g/cm3: 7.465

=====

Below is PmEr2Ga after structural relaxation, with properties calculated at the PBE level.

Cell and atoms, written as POSCAR:
```
PmEr2Ga
1.0
0.0000 3.7627 3.7627
3.7627 0.0000 3.7627
3.7627 3.7627 0.0000
Pm Er Ga
1 2 1
Cartesian
0.0000 0.0000 0.0000
1.8813 1.8813 1.8813
5.6440 5.6440 5.6440
3.7627 3.7627 3.7627
```

SG: Fm-3m, No. 225
Crystal system: cubic
E_form, eV/f.u.: -0.109
Mass density, g/cm3: 8.560

=====

Below is Pm2Er3Ga2 after structural relaxation, with properties calculated at the PBE level.

Cell and atoms, written as POSCAR:
```
Pm2Er3Ga2
1.0
6.0324 -2.0931 0.0000
6.0324 2.0931 0.0000
-3.3849 0.0000 7.8203
Pm Er Ga
2 3 2
Cartesian
0.7534 0.0000 2.4002
7.9264 0.0000 5.4201
4.3515 0.0000 0.4738
4.3399 0.0000 3.9101
4.3283 0.0000 7.3465
-0.3774 0.0000 5.5806
9.0571 0.0000 2.2397
```

SG: C2/m, No. 12
Crystal system: monoclinic
E_form, eV/f.u.: -2.195
Mass density, g/cm3: 7.830

=====

Below is Pm2ErGa after structural relaxation, with properties calculated at the PBE level.

Cell and atoms, written as POSCAR:
```
Pm2ErGa
1.0
1.8357 -6.4086 0.0000
1.8357 6.4086 0.0000
0.0000 0.0000 9.8851
Pm Er Ga
4 2 2
Cartesian
1.8357 4.6817 5.4281
1.8357 4.6817 9.3995
1.8357 -4.6817 0.4856
1.8357 -4.6817 4.4569
1.8357 0.7239 7.4138
1.8357 -0.7239 2.4713
1.8357 3.3158 2.4713
1.8357 -3.3158 7.4138
```

SG: Cmcm, No. 63
Crystal system: orthorhombic
E_form, eV/f.u.: -1.049
Mass density, g/cm3: 7.525

=====

Below is PmEr2Ga after structural relaxation, with properties calculated at the PBE level.

Cell and atoms, written as POSCAR:
```
PmEr2Ga
1.0
4.7430 0.0000 0.0000
0.0000 4.7430 0.0000
0.0000 0.0000 4.7131
Pm Er Ga
1 2 1
Cartesian
0.0000 0.0000 0.0000
0.0000 2.3715 2.3565
2.3715 0.0000 2.3565
2.3715 2.3715 0.0000
```

SG: P4/mmm, No. 123
Crystal system: tetragonal
E_form, eV/f.u.: -0.933
Mass density, g/cm3: 8.602